1.
The following is a DFT calculation (PBE) of an optimized crystal structure of FeSiAs.

```
FeSiAs
1.0
3.0234 0.0000 0.0000
-1.5117 2.6183 0.0000
0.0000 0.0000 5.3421
Fe Si As
1 1 1
Cartesian
0.0000 0.0000 0.0000
1.5117 0.8728 1.5756
0.0000 1.7456 3.6738
```

Results
total magnetization = 1.2 μB per formula unit
raw total energy = -0.2263 hartree per atom
space group = P3m1

2.
The following is a DFT calculation (PBE) of an optimized crystal structure of FeSi2As.

```
FeSi2As
1.0
8.1011 0.0000 0.0000
0.0000 2.7789 0.0000
-1.8505 0.0000 5.3809
Fe Si As
2 4 2
Cartesian
0.0000 0.0000 0.0000
4.0505 1.3895 0.0000
0.4033 0.0000 5.3249
2.3312 0.0000 3.5098
4.4538 1.3895 5.3249
6.3817 1.3895 3.5098
0.3007 1.3895 1.9927
4.3512 0.0000 1.9927
```

Results
total magnetization = 0.0 μB per formula unit
raw total energy = -0.2204 hartree per atom
energy relative to the lowest polymorph listed for this composition = 0 meV/atom
space group = Cm

Q: The lowest total magnetization belongs to which entry?
A: FeSi2As